First-principles (PBE-GGA) data for crystalline MoWSe2 at its relaxed geometry, as listed in the Alexandria database.

Calculated values
formation energy (no corrections): 0.7104 eV/atom
space group: Immm, No. 71
density of states at the Fermi level: 3.965 states/eV/f.u.

Unit cell a=5.1887 b=5.1887 c=5.1887 alpha=145.54 beta=115.27 gamma=75.44
Sites, in units of the cell vectors:
1 Se 0.0018 0.0018 0.0000
2 Se 0.4982 0.4982 0.0000
3 Mo 0.7500 0.2500 0.5000
4 W 0.2500 0.7500 0.5000

First-principles (PBE-GGA) data for crystalline NdThPdRu at its relaxed geometry, as listed in the Alexandria database.

Calculated values
space group: Amm2, No. 38
density of states at the Fermi level: 3.098 states/eV/f.u.

Unit cell a=3.9564 b=4.0926 c=6.1512 alpha=90.00 beta=108.76 gamma=90.00
Sites, in units of the cell vectors:
1 Pd 0.4157 0.0000 0.8313
2 Ru 0.5970 0.5000 0.1941
3 Th 0.1332 0.0000 0.2665
4 Nd 0.8541 0.5000 0.7081

| no. | total energy (eV per atom) |
| --- | --- |
| 1 | -6.978 |
| 2 | -7.280 |